Entry 1
HoAl4Ag6: relaxed, PBE.

Volume in Å³ per atom: 18.57
Density of states at the Fermi level in states/eV/f.u.: 4.21

Lattice parameters (Å, degrees): 7.4264 7.4264 4.2769 90.00 90.00 120.00
Space group P-6m2 (No. 187)
Unique sites:
Ho 0.0000 0.0000 0.0000 (multiplicity 1)
Al 0.3333 0.6667 0.0000 (multiplicity 1)
Al 0.3971 0.1985 0.5000 (multiplicity 3)
Ag 0.2008 0.4016 0.5000 (multiplicity 3)
Ag 0.5355 0.0711 0.0000 (multiplicity 3)

---

Entry 2
HoAl4Ag6: relaxed, PBE.

Volume in Å³ per atom: 20.05
Density of states at the Fermi level in states/eV/f.u.: 3.31

Lattice parameters (Å, degrees): 6.6944 6.6944 9.8419 90.00 90.00 90.00
Space group I-42m (No. 121)
Unique sites:
Ho 0.0000 0.0000 0.0000 (multiplicity 2)
Al 0.1613 0.1613 0.5837 (multiplicity 8)
Ag 0.0000 0.5000 0.0000 (multiplicity 4)
Ag 0.2053 0.2053 0.3057 (multiplicity 8)

---

In terms of stability, entry 1 leads; the second structure lies 0.114 eV/atom higher.